Compound: CsNa2AlZn
Source: the Alexandria database
Functional: PBE
Structure: optimized geometry

## Properties
**Excess energy over the best structure of this formula in the dataset**: 0.3 kJ/mol of atoms
**Crystal system**: tetragonal
**N(E_F)**: 1.4 states/eV/f.u.
**DFT formation energy**: 0.15 eV/atom

Cell: 5.961 5.961 4.875 Å, 90.00 90.00 90.00°
Atoms (fractional coordinates):
Cs: 0.500 0.500 0.500
Na: 0.000 0.500 0.000
Na: 0.500 0.000 0.000
Zn: 0.000 0.000 0.000
Al: 0.000 0.000 0.500

***

Compound: Cs3NdPu2Se6
Source: the Alexandria database
Functional: PBE
Structure: optimized geometry

## Properties
**Crystal system**: monoclinic
**N(E_F)**: 23.8 states/eV/f.u.
**ΔE_f (raw)**: -1.525 eV/atom

Cell: 7.559 7.559 8.735 Å, 98.29 98.29 120.00°
Atoms (fractional coordinates):
Cs: 0.165 0.835 0.500
Cs: 0.835 0.165 0.500
Cs: 0.500 0.500 0.500
Nd: 0.000 0.000 0.000
Pu: 0.333 0.667 0.000
Pu: 0.667 0.333 0.000
Se: 0.938 0.599 0.813
Se: 0.723 0.723 0.186
Se: 0.062 0.401 0.187
Se: 0.599 0.938 0.813
Se: 0.277 0.277 0.814
Se: 0.401 0.062 0.187

***

Compound: ZnTeW
Source: the Alexandria database
Functional: PBE
Structure: optimized geometry

## Properties
**Excess energy over the best structure of this formula in the dataset**: 5.0 kJ/mol of atoms
**Crystal system**: tetragonal
**N(E_F)**: 1.3 states/eV/f.u.
**ΔE_f (raw)**: 0.475 eV/atom

Cell: 6.930 6.930 6.930 Å, 153.37 153.37 38.01°
Atoms (fractional coordinates):
Te: 0.956 0.956 0.000
W: 0.332 0.332 0.000
Zn: 0.712 0.712 0.000

***

Compound: NaTi2H2
Source: the Alexandria database
Functional: PBE
Structure: optimized geometry

## Properties
**Excess energy over the best structure of this formula in the dataset**: 0.0 kJ/mol of atoms
**Crystal system**: tetragonal
**N(E_F)**: 4.7 states/eV/f.u.

Cell: 3.581 3.581 6.188 Å, 73.18 73.18 90.00°
Atoms (fractional coordinates):
Na: 0.000 0.000 0.000
H: 0.750 0.250 0.500
H: 0.250 0.750 0.500
Ti: 0.301 0.301 0.398
Ti: 0.699 0.699 0.602

***

Compound: Dy6Tm2In
Source: the Alexandria database
Functional: PBE
Structure: optimized geometry

## Properties
**Excess energy over the best structure of this formula in the dataset**: 0.0 kJ/mol of atoms
**Crystal system**: orthorhombic
**N(E_F)**: 11.7 states/eV/f.u.
**DFT formation energy**: -0.01 eV/atom

Cell: 3.459 10.105 9.530 Å, 122.02 100.47 90.00°
Atoms (fractional coordinates):
Dy: 0.177 0.340 0.353
Dy: 0.823 0.987 0.647
Dy: 0.823 0.660 0.647
Dy: 0.500 0.307 0.000
Dy: 0.177 0.013 0.353
Dy: 0.500 0.693 0.000
Tm: 0.156 0.655 0.311
Tm: 0.844 0.345 0.689
In: 0.000 0.000 0.000

***

Compound: TiTlBi2Pb
Source: the Alexandria database
Functional: PBE
Structure: optimized geometry

## Properties
**Crystal system**: tetragonal
**N(E_F)**: 3.8 states/eV/f.u.
**DFT formation energy**: 0.12 eV/atom

Cell: 5.465 5.465 5.516 Å, 90.00 90.00 90.00°
Atoms (fractional coordinates):
Pb: 0.000 0.000 0.500
Tl: 0.500 0.500 0.500
Bi: 0.000 0.500 0.000
Bi: 0.500 0.000 0.000
Ti: 0.000 0.000 0.000

***

Compound: ThPb2Au
Source: the Alexandria database
Functional: PBE
Structure: optimized geometry

## Properties
**Excess energy over the best structure of this formula in the dataset**: 45.3 kJ/mol of atoms
**Crystal system**: trigonal
**N(E_F)**: 4.1 states/eV/f.u.
**DFT formation energy**: 0.15 eV/atom

Cell: 3.513 3.513 11.168 Å, 80.95 80.95 60.00°
Atoms (fractional coordinates):
Pb: 0.101 0.101 0.698
Pb: 0.899 0.899 0.302
Au: 0.500 0.500 0.500
Th: 0.000 0.000 0.000

***

Compound: ThRe8Tc4
Source: the Alexandria database
Functional: PBE
Structure: optimized geometry

## Properties
**Crystal system**: trigonal
**N(E_F)**: 11.7 states/eV/f.u.
**DFT formation energy**: 0.40 eV/atom

Cell: 5.453 5.453 9.946 Å, 74.09 74.09 60.00°
Atoms (fractional coordinates):
Th: 0.500 0.500 0.500
Re: 0.759 0.249 0.233
Re: 0.751 0.241 0.767
Re: 0.241 0.751 0.767
Re: 0.241 0.241 0.767
Re: 0.254 0.254 0.237
Re: 0.746 0.746 0.763
Re: 0.759 0.759 0.233
Re: 0.249 0.759 0.233
Tc: 0.500 0.000 0.000
Tc: 0.500 0.500 0.000
Tc: 0.000 0.500 0.000
Tc: 0.000 0.000 0.000

***

Q: Among the records above, which one has the lowest N(E_F)?
A: ZnTeW

***

Q: Number 7 is which compound?
A: ThPb2Au

***

Q: What is the N(E_F) in the third record?
A: 1.3 states/eV/f.u.